A relaxed structure of PmDy2UO8, computed with PBE-GGA.

The structure in POSCAR format:
```
PmDy2UO8
1.0
-3.3830 1.8853 -0.4744
-2.6200 -4.6694 0.1190
-0.7242 0.5989 7.5399
Pm Dy U O
1 2 1 8
Direct
0.0000 0.0000 0.5000 Pm
0.5000 0.5000 0.7532 Dy
0.5000 0.5000 0.2468 Dy
0.0000 0.0000 0.0000 U
0.0000 0.7565 0.2236 O
0.4999 0.7692 0.0000 O
0.0000 0.2435 0.2236 O
0.0000 0.2435 0.7764 O
0.5001 0.2308 0.0000 O
0.0000 0.7565 0.7764 O
0.5001 0.7402 0.5000 O
0.4999 0.2598 0.5000 O
```

- Crystal system: orthorhombic
- Uncorrected formation energy: -3.26 eV/atom